Entry from Alexandria: a relaxed structure of TaAlW3 (PBE).

Summary:
Electronic total energy, eV/atom: -9.2690
Energy of formation from the pure elements, meV per atom: 1622
Energy relative to the lowest polymorph listed for this composition, meV per atom: 0
V, Å³/atom: 18.43

```
5
Lattice="4.5164 0.0000 0.0000 0.0000 4.5164 0.0000 0.0000 0.0000 4.5164" Properties=species:S:1:pos:R:3 pbc="T T T"
Ta 0.0000 0.0000 0.0000
Al 2.2582 2.2582 2.2582
W 0.0000 2.2582 2.2582
W 2.2582 0.0000 2.2582
W 2.2582 2.2582 0.0000
```